Computed, not measured: a relaxed HoLuTh crystal at the PBE level of DFT.

abc: 3.545 3.545 8.536
angles: 90.00 90.00 120.00
Fractional positions:
Ho  0.667  0.333  0.330
Lu  0.333  0.667  0.671
Th  0.000  0.000  0.999

Summary:
- ΔE_f: 0.020 eV per atom
- Energy: -0.202 Ha/atom


Computed, not measured: a relaxed SbTe2IrPb crystal at the PBE level of DFT.

abc: 5.705 5.705 5.750
angles: 90.00 90.00 90.00
Last column: magnetic moment on the atom in μB.
Fractional positions:
Ir  0.500  0.500  0.500  1.86
Te  0.000  0.500  0.000  0.06
Te  0.500  0.000  0.000  0.06
Sb  0.000  0.000  0.500  -0.14
Pb  0.000  0.000  0.000  0.00

Summary:
- Energy: -0.106 Ha/atom


Computed, not measured: a relaxed Tb2Zn3CuNi12 crystal at the PBE level of DFT.

abc: 9.290 9.290 9.290
angles: 37.36 37.36 37.36
Fractional positions:
Ni  0.357  0.925  0.925
Ni  0.643  0.075  0.075
Ni  0.812  0.422  0.422
Ni  0.075  0.075  0.643
Ni  0.578  0.188  0.578
Ni  0.422  0.812  0.422
Ni  0.075  0.643  0.075
Ni  0.925  0.357  0.925
Ni  0.925  0.925  0.357
Ni  0.188  0.578  0.578
Ni  0.578  0.578  0.188
Ni  0.422  0.422  0.812
Zn  0.500  0.000  0.000
Zn  0.000  0.500  0.000
Zn  0.000  0.000  0.500
Cu  0.000  0.000  0.000
Tb  0.652  0.652  0.652
Tb  0.348  0.348  0.348

Summary:
- ΔE_f: 0.122 eV per atom
- Energy: -0.172 Ha/atom


Question: Which of these has the highest energy?
Answer: SbTe2IrPb